A plane-wave DFT calculation with PBE with a Hubbard U was carried out for a geometry-optimized PaTiV2O8 structure.

Lattice parameters (Å, degrees): 4.7399 4.7390 6.3422 90.00 90.00 89.19
Last column: magnetic moment on the atom in μB.
Fractional positions:
Pa 0.0000 0.0000 0.5000  0.04
Ti 0.0000 0.0000 0.0000  0.07
V 0.5000 0.5000 0.7736  1.51
V 0.5000 0.5000 0.2264  1.51
O 0.1994 0.8003 0.2253  -0.02
O 0.7010 0.7014 0.0000  -0.07
O 0.8007 0.1997 0.2253  -0.02
O 0.8006 0.1997 0.7747  -0.02
O 0.2990 0.2986 0.0000  -0.07
O 0.1993 0.8003 0.7747  -0.02
O 0.6823 0.6826 0.5000  -0.03
O 0.3177 0.3174 0.5000  -0.03

Total energy, eV/atom: -8.661